The following is a DFT calculation (SCAN) of a crystal of Eu2PtAu relaxed with PBEsol.

Results
Its energy relative to the elements is -1.0076 eV/atom.

a = 5.0604 Å, b = 5.0604 Å, c = 5.0604 Å
α = 60.00°, β = 60.00°, γ = 60.00°
Positions (direct):
Au 0.0000 0.0000 0.0000
Eu 0.7500 0.7500 0.7500
Eu 0.2500 0.2500 0.2500
Pt 0.5000 0.5000 0.5000



The following is a DFT calculation (SCAN) of a crystal of KYTi3 relaxed with PBEsol.

Results
Its energy relative to the elements is 1.5188 eV/atom.

a = 5.1417 Å, b = 5.1417 Å, c = 5.1417 Å
α = 90.00°, β = 90.00°, γ = 90.00°
Positions (direct):
Ti 0.0000 0.5000 0.0000
Y 0.0000 0.0000 0.0000
K 0.5000 0.5000 0.5000
Ti 0.0000 0.0000 0.5000
Ti 0.5000 0.0000 0.0000



The following is a DFT calculation (SCAN) of a crystal of Li3ZnPd relaxed with PBEsol.

Results
Its energy relative to the elements is 0.1071 eV/atom.

a = 4.6413 Å, b = 4.6413 Å, c = 4.6413 Å
α = 90.00°, β = 90.00°, γ = 90.00°
Positions (direct):
Pd 0.0000 0.0000 0.0000
Li 0.0000 0.0000 0.5000
Li 0.5000 0.0000 0.0000
Li 0.0000 0.5000 0.0000
Zn 0.5000 0.5000 0.5000



The following is a DFT calculation (SCAN) of a crystal of Al2SeCl relaxed with PBEsol.

Results
The raw formation energy comes out at -438.3 meV/atom. The offset from the most stable computed form is 0.0000 eV per atom.

a = 3.3521 Å, b = 3.3521 Å, c = 8.7446 Å
α = 90.00°, β = 90.00°, γ = 116.86°
Positions (direct):
Al 0.0000 0.0000 0.9962
Al 0.5000 0.5000 0.7586
Se 0.5000 0.5000 0.1782
Cl 0.0000 0.0000 0.5670



These records have size of the total moment values of 14.4, 4.0, 0.0, 0.0 Bohr magnetons per cell, in the order they appear.